# 1
Here is a relaxed CeInCl5 crystal from Alexandria via LeMat-Bulk. Energies are from PBE.

a b c (Å): 7.628 7.628 10.620
angles (deg): 69.01 69.01 70.45
Fractional positions:
Cl (0.264, 0.194, 0.874)
Cl (0.681, 0.265, 0.470)
Cl (0.735, 0.319, 0.030)
In (0.471, 0.529, 0.250)
Cl (0.736, 0.806, 0.126)
In (0.529, 0.471, 0.750)
Cl (0.806, 0.736, 0.626)
Ce (0.000, 0.000, 0.000)
Cl (0.265, 0.681, 0.970)
Cl (0.194, 0.264, 0.374)
Cl (0.916, 0.084, 0.750)
Cl (0.319, 0.735, 0.530)
Ce (0.000, 0.000, 0.500)
Cl (0.084, 0.916, 0.250)

Calculated values
Energy relative to the elements, uncorrected: -1630.1 meV/atom

# 2
Here is a relaxed TlHgAsSe2 crystal from Alexandria via LeMat-Bulk. Energies are from PBE.

a b c (Å): 5.457 5.652 5.457
angles (deg): 90.00 90.00 90.00
Last column: magnetic moment on the atom in μB.
Fractional positions:
As (0.500, 0.500, 0.500)  0.88
Tl (0.000, 0.000, 0.000)  0.02
Hg (0.000, 0.500, 0.000)  0.03
Se (0.500, 0.000, 0.000)  -0.11
Se (0.000, 0.000, 0.500)  -0.13

Calculated values
Energy above the most stable polymorph in this dataset: 0.334 eV/atom
Energy relative to the elements, uncorrected: 817.1 meV/atom

# 3
Here is a relaxed Cd2Sn2Pb crystal from Alexandria via LeMat-Bulk. Energies are from PBE.

a b c (Å): 4.554 4.554 7.560
angles (deg): 72.47 72.47 90.00
Fractional positions:
Cd (0.399, 0.399, 0.201)
Pb (0.000, 0.000, 0.000)
Cd (0.601, 0.601, 0.799)
Sn (0.750, 0.250, 0.500)
Sn (0.250, 0.750, 0.500)

Calculated values
Energy above the most stable polymorph in this dataset: 0.037 eV/atom
Formation enthalpy at 0 K: 10.5 kJ/mol of atoms

# 4
Here is a relaxed Nd4Sb3H2 crystal from Alexandria via LeMat-Bulk. Energies are from PBE.

a b c (Å): 4.328 7.179 9.245
angles (deg): 121.61 90.00 107.55
Fractional positions:
H (0.694, 0.389, 0.379)
Sb (0.613, 0.227, 0.705)
Sb (0.387, 0.773, 0.295)
Nd (0.686, 0.373, 0.106)
Nd (0.314, 0.627, 0.894)
H (0.306, 0.611, 0.621)
Sb (0.000, 0.000, 0.000)
Nd (0.098, 0.196, 0.401)
Nd (0.902, 0.804, 0.599)

Calculated values
Raw total energy: -0.3795 Ry per atom

Q: Number 3 is which compound?
A: Cd2Sn2Pb